No. 1
{
  "formula": "Ba2In4Pb3Au",
  "functional": "PBE-GGA",
  "state": "relaxed",
  "spacegroup": "No. 115",
  "cell": [[5.223, 0.000, 0.000], [0.000, 5.223, 0.000], [0.000, 0.000, 12.018]],
  "species": ["Ba", "Ba", "In", "In", "In", "In", "Pb", "Pb", "Pb", "Au"],
  "fractional_positions": [[0.000, 0.500, 0.233], [0.500, 0.000, 0.767], [0.000, 0.000, 0.500], [0.000, 0.500, 0.885], [0.500, 0.000, 0.115], [0.500, 0.500, 0.500], [0.000, 0.000, 0.000], [0.000, 0.500, 0.638], [0.500, 0.000, 0.362], [0.500, 0.500, 0.000]]
}

No. 2
{
  "formula": "Ba2In4PbAu3",
  "functional": "PBE-GGA",
  "state": "relaxed",
  "spacegroup": "No. 115",
  "cell": [[4.870, 0.000, 0.000], [0.000, 4.870, 0.000], [0.000, 0.000, 11.998]],
  "species": ["Ba", "Ba", "In", "In", "In", "In", "Pb", "Au", "Au", "Au"],
  "fractional_positions": [[0.000, 0.500, 0.246], [0.500, 0.000, 0.754], [0.000, 0.000, 0.000], [0.000, 0.500, 0.644], [0.500, 0.000, 0.356], [0.500, 0.500, 0.000], [0.000, 0.000, 0.500], [0.000, 0.500, 0.875], [0.500, 0.000, 0.125], [0.500, 0.500, 0.500]]
}

No. 3
{
  "formula": "Ba2In3PbAu4",
  "functional": "PBE-GGA",
  "state": "relaxed",
  "spacegroup": "No. 115",
  "cell": [[4.960, 0.000, 0.000], [0.000, 4.960, 0.000], [0.000, 0.000, 11.304]],
  "species": ["Ba", "Ba", "In", "In", "In", "Pb", "Au", "Au", "Au", "Au"],
  "fractional_positions": [[0.000, 0.500, 0.241], [0.500, 0.000, 0.759], [0.000, 0.500, 0.883], [0.500, 0.000, 0.117], [0.500, 0.500, 0.500], [0.000, 0.000, 0.500], [0.000, 0.000, 0.000], [0.000, 0.500, 0.639], [0.500, 0.000, 0.361], [0.500, 0.500, 0.000]]
}

No. 4
{
  "formula": "BaIn2PbAu",
  "functional": "PBE-GGA",
  "state": "relaxed",
  "spacegroup": "No. 44",
  "cell": [[-2.473, 2.477, 6.141], [2.473, -2.477, 6.141], [2.473, 2.477, -6.141]],
  "species": ["Ba", "In", "In", "Pb", "Au"],
  "fractional_positions": [[0.000, 0.000, 0.000], [0.608, 0.608, 0.000], [0.763, 0.263, 0.500], [0.257, 0.757, 0.500], [0.386, 0.386, 0.000]]
}

No. 5
{
  "formula": "BaInPbAu3",
  "functional": "PBE-GGA",
  "state": "relaxed",
  "spacegroup": "No. 63",
  "cell": [[3.400, -6.737, 0.000], [3.400, 6.737, 0.000], [0.000, 0.000, 7.652]],
  "species": ["Ba", "Ba", "In", "In", "Pb", "Pb", "Au", "Au", "Au", "Au", "Au", "Au"],
  "fractional_positions": [[0.186, 0.814, 0.750], [0.814, 0.186, 0.250], [0.452, 0.548, 0.750], [0.548, 0.452, 0.250], [0.128, 0.872, 0.250], [0.872, 0.128, 0.750], [0.215, 0.215, 0.000], [0.215, 0.215, 0.500], [0.341, 0.659, 0.250], [0.659, 0.341, 0.750], [0.785, 0.785, 0.000], [0.785, 0.785, 0.500]]
}

No. 6
{
  "formula": "Ba2InPb3Au4",
  "functional": "PBE-GGA",
  "state": "relaxed",
  "spacegroup": "No. 115",
  "cell": [[4.995, 0.000, 0.000], [0.000, 4.995, 0.000], [0.000, 0.000, 11.585]],
  "species": ["Ba", "Ba", "In", "Pb", "Pb", "Pb", "Au", "Au", "Au", "Au"],
  "fractional_positions": [[0.000, 0.500, 0.239], [0.500, 0.000, 0.761], [0.000, 0.000, 0.500], [0.000, 0.500, 0.873], [0.500, 0.000, 0.127], [0.500, 0.500, 0.500], [0.000, 0.000, 0.000], [0.000, 0.500, 0.628], [0.500, 0.000, 0.372], [0.500, 0.500, 0.000]]
}

No. 7
{
  "formula": "Ba2InPb4Au3",
  "functional": "PBE-GGA",
  "state": "relaxed",
  "spacegroup": "No. 115",
  "cell": [[5.013, 0.000, 0.000], [0.000, 5.013, 0.000], [0.000, 0.000, 12.067]],
  "species": ["Ba", "Ba", "In", "Pb", "Pb", "Pb", "Pb", "Au", "Au", "Au"],
  "fractional_positions": [[0.000, 0.500, 0.248], [0.500, 0.000, 0.752], [0.500, 0.500, 0.000], [0.000, 0.000, 0.500], [0.000, 0.500, 0.863], [0.500, 0.000, 0.137], [0.500, 0.500, 0.500], [0.000, 0.000, 0.000], [0.000, 0.500, 0.630], [0.500, 0.000, 0.370]]
}

No. 8
{
  "formula": "Ba2In4PdAu3",
  "functional": "PBE-GGA",
  "state": "relaxed",
  "spacegroup": "No. 115",
  "cell": [[4.914, 0.000, 0.000], [0.000, 4.914, 0.000], [0.000, 0.000, 11.087]],
  "species": ["Ba", "Ba", "In", "In", "In", "In", "Pd", "Au", "Au", "Au"],
  "fractional_positions": [[0.000, 0.500, 0.241], [0.500, 0.000, 0.759], [0.000, 0.000, 0.500], [0.000, 0.500, 0.886], [0.500, 0.000, 0.114], [0.500, 0.500, 0.500], [0.500, 0.500, 0.000], [0.000, 0.000, 0.000], [0.000, 0.500, 0.635], [0.500, 0.000, 0.365]]
}

No. 9
{
  "formula": "Ba2InPdAu",
  "functional": "PBE-GGA",
  "state": "relaxed",
  "spacegroup": "No. 123",
  "cell": [[6.073, 0.000, 0.000], [0.000, 6.073, 0.000], [0.000, 0.000, 5.130]],
  "species": ["Ba", "Ba", "In", "Pd", "Au"],
  "fractional_positions": [[0.000, 0.500, 0.000], [0.500, 0.000, 0.000], [0.000, 0.000, 0.500], [0.000, 0.000, 0.000], [0.500, 0.500, 0.500]]
}

No. 10
{
  "formula": "BaInPdAu",
  "functional": "PBE-GGA",
  "state": "relaxed",
  "spacegroup": "No. 8",
  "cell": [[4.136, -2.389, 0.000], [4.136, 2.389, 0.000], [-2.777, 0.000, 5.570]],
  "species": ["Ba", "In", "Pd", "Au"],
  "fractional_positions": [[0.000, 0.000, 0.000], [0.490, 0.490, 0.471], [0.803, 0.803, 0.411], [0.202, 0.202, 0.605]]
}

No. 11
{
  "formula": "BaIn4PdAu2",
  "functional": "PBE-GGA",
  "state": "relaxed",
  "spacegroup": "No. 166",
  "cell": [[2.383, 1.376, 10.468], [-2.383, 1.376, 10.468], [0.000, -2.752, 10.468]],
  "species": ["Ba", "In", "In", "In", "In", "Pd", "Au", "Au"],
  "fractional_positions": [[0.000, 0.000, 0.000], [0.139, 0.139, 0.139], [0.413, 0.413, 0.413], [0.587, 0.587, 0.587], [0.861, 0.861, 0.861], [0.500, 0.500, 0.500], [0.262, 0.262, 0.262], [0.738, 0.738, 0.738]]
}

No. 12
{
  "formula": "Ba8InPdAu2",
  "functional": "PBE-GGA",
  "state": "relaxed",
  "spacegroup": "No. 10",
  "cell": [[7.718, 0.000, 0.000], [0.000, 9.972, 0.000], [-0.124, 0.000, 7.945]],
  "species": ["Ba", "Ba", "Ba", "Ba", "Ba", "Ba", "Ba", "Ba", "In", "Pd", "Au", "Au"],
  "fractional_positions": [[0.226, 0.000, 0.342], [0.236, 0.500, 0.323], [0.271, 0.272, 0.828], [0.271, 0.728, 0.828], [0.729, 0.272, 0.172], [0.729, 0.728, 0.172], [0.764, 0.500, 0.677], [0.774, 0.000, 0.658], [0.500, 0.000, 0.000], [0.500, 0.500, 0.000], [0.000, 0.254, 0.500], [0.000, 0.746, 0.500]]
}

Number 1: E_form -0.31 eV/atom. Number 2: E_form -0.49 eV/atom. Number 3: E_form -0.52 eV/atom. Number 4: E_form -0.45 eV/atom. Number 5: E_form -0.30 eV/atom. Number 6: E_form -0.46 eV/atom. Number 7: E_form -0.42 eV/atom. Number 8: E_form -0.56 eV/atom. Number 9: E_form -0.40 eV/atom. Number 10: E_form -0.60 eV/atom. Number 11: E_form -0.41 eV/atom. Number 12: E_form -0.39 eV/atom.